Density functional theory data (PBE+U) for crystalline CrTe2O at its relaxed geometry.

extended XYZ file:
```
4
Lattice="2.173 1.255 6.669 -2.173 1.255 6.669 0.000 -2.509 6.669" Properties=species:S:1:pos:R:3 pbc="T T T"
Cr 0.000 0.000 0.000
Te 0.000 0.000 7.987
Te 0.000 0.000 12.019
O 0.000 0.000 10.003
```

Calculated values
**Uncorrected energy**: -4.831 eV/atom
**ρ**: 4.92 g cm⁻³